First-principles (PBE) data for a relaxed Hf2Al crystal, as listed in Alexandria.

Summary:
- ΔH_f (0 K): -0.267 eV per atom
- Theoretical density: 10.43 g/cm3
- VASP energy: -48.903 eV for the cell shown
- Fermi-level density of states: 1.1973 states/eV/atom
- Space group: No. 140

Cell lengths 5.494, 5.494, 5.494 Å; angles 103.19, 103.19, 122.93 degrees
Fractional coordinates of all 6 atoms:
Hf 0.152 0.652 0.803
Hf 0.348 0.152 0.500
Hf 0.652 0.848 0.500
Hf 0.848 0.348 0.197
Al 0.250 0.250 0.000
Al 0.750 0.750 0.000